Entry 1:
DFT (PBE) results for Dy6PuSe8 after structural relaxation.

Cell: 11.5090 11.5090 11.5090 Å, 90.00 90.00 90.00°
With the nearest neighbours (Å) after each atom.
Space group Fm-3m (No. 225)
Inequivalent atoms, fractional coordinates:
Dy  0.0000  0.2500  0.2500 x24  6 Se 2.88
Pu  0.0000  0.0000  0.0000 x4  6 Se 2.95
Se  0.0000  0.0000  0.2564 x24  4 Dy 2.88, 1 Pu 2.95
Se  0.2500  0.2500  0.2500 x8  6 Dy 2.88

Properties
VASP energy in eV per atom: -6.435
E_form (uncorrected) in meV/atom: -1780
DOS at the Fermi energy in states/eV/cell: 64.5
Theoretical density in g/cm3: 8.1

=====

Entry 2:
DFT (PBE) results for TiCrB2Ir2 after structural relaxation.

Cell: 8.5577 8.5577 3.2141 Å, 90.00 90.00 120.00°
With the nearest neighbours (Å) after each atom.
Space group P-62m (No. 189)
Inequivalent atoms, fractional coordinates:
Ti  0.0000  0.5896  0.0000 x3  4 B 2.40-2.59
Cr  0.0000  0.1701  0.0000 x3  6 B 2.17-2.28
B  0.0000  0.0000  0.5000 x1  3 B 1.74
B  0.0000  0.7972  0.5000 x3  1 B 1.74
B  0.3333  0.6667  0.0000 x2  6 Ir 2.25
Ir  0.1848  0.4612  0.5000 x6  3 B 2.25-2.29

Properties
VASP energy in eV per atom: -8.720
DOS at the Fermi energy in states/eV/cell: 11.6
Theoretical density in g/cm3: 12.4

=====

Entry 3:
DFT (PBE) results for NiAs2RhBr after structural relaxation.

Cell: 4.6987 4.6987 5.3142 Å, 90.00 90.00 90.00°
With the nearest neighbours (Å) after each atom.
Space group P4/mmm (No. 123)
Inequivalent atoms, fractional coordinates:
Ni  0.0000  0.0000  0.0000 x1  4 Br 3.32, 8 As 3.55
As  0.0000  0.5000  0.5000 x2  2 Rh 2.35
Rh  0.5000  0.5000  0.5000 x1  4 As 2.35
Br  0.5000  0.5000  0.0000 x1  2 Rh 2.66

Properties
VASP energy in eV per atom: -4.056
E_form (uncorrected) in meV/atom: 765
DOS at the Fermi energy in states/eV/cell: 6.7
Theoretical density in g/cm3: 5.5
Energy above the most stable polymorph in this dataset in meV/atom: 82.1

=====

Entry 4:
DFT (PBE) results for Dy3HoNi2 after structural relaxation.

Cell: 16.0576 4.0582 11.2674 Å, 90.00 121.43 90.00°
With the nearest neighbours (Å) after each atom.
Space group C2/m (No. 12)
Inequivalent atoms, fractional coordinates:
Dy  0.0616  0.0000  0.1894 x4  3 Ni 2.71
Dy  0.1861  0.5000  0.0598 x4  3 Ni 2.70-2.72
Dy  0.1884  0.0000  0.5629 x4  3 Ni 2.71
Ho  0.0628  0.5000  0.6876 x4  3 Ni 2.70
Ni  0.1244  0.5000  0.3766 x4  1 Ho 2.70, 5 Dy 2.71
Ni  0.1256  0.0000  0.8724 x4  2 Ho 2.70, 4 Dy 2.70-2.72

Properties
VASP energy in eV per atom: -5.193
DOS at the Fermi energy in states/eV/cell: 17.2
Theoretical density in g/cm3: 8.2
Energy above the most stable polymorph in this dataset in meV/atom: 95.0

=====

Entry 5:
DFT (PBE) results for Cr2CuOs after structural relaxation.

Cell: 6.6940 6.6940 5.0074 Å, 90.00 90.00 90.00°
With the nearest neighbours (Å) after each atom.
Space group I-42d (No. 122)
Inequivalent atoms, fractional coordinates:
Cr  0.2263  0.7500  0.1250 x8  2 Os 2.34, 2 Cr 2.52, 2 Cu 2.56
Cu  0.0000  0.0000  0.5000 x4  2 Os 2.50, 4 Cr 2.56
Os  0.0000  0.0000  0.0000 x4  4 Cr 2.34, 2 Cu 2.50

Properties
VASP energy in eV per atom: -7.845
DOS at the Fermi energy in states/eV/cell: 19.8
Theoretical density in g/cm3: 10.6

=====

Entry 6:
DFT (PBE) results for SnOsBr2 after structural relaxation.

Cell: 7.1460 7.1460 7.1460 Å, 90.00 90.00 90.00°
With the nearest neighbours (Å) after each atom.
Space group Fm-3m (No. 225)
Inequivalent atoms, fractional coordinates:
Sn  0.0000  0.0000  0.0000 x4  8 Br 3.09
Os  0.0000  0.0000  0.5000 x4  8 Br 3.09
Br  0.2500  0.2500  0.2500 x8  4 Os 3.09, 4 Sn 3.09

Properties
VASP energy in eV per atom: -3.557
E_form (uncorrected) in meV/atom: 1087
DOS at the Fermi energy in states/eV/cell: 15.0
Theoretical density in g/cm3: 8.5
Energy above the most stable polymorph in this dataset in meV/atom: 724.4

=====

Entry 7:
DFT (PBE) results for NdTeF after structural relaxation.

Cell: 4.2527 4.2527 4.4607 Å, 90.00 90.00 120.00°
With the nearest neighbours (Å) after each atom.
Space group P-6m2 (No. 187)
Inequivalent atoms, fractional coordinates:
Nd  0.0000  0.0000  0.0000 x1  3 F 2.46
Te  0.3333  0.6667  0.5000 x1  6 Nd 3.32, 6 F 3.32
F  0.6667  0.3333  0.0000 x1  3 Nd 2.46

Properties
VASP energy in eV per atom: -5.885
E_form (uncorrected) in meV/atom: -2624
Theoretical density in g/cm3: 6.9
Energy above the most stable polymorph in this dataset in meV/atom: 0.0

=====

Entry 8:
DFT (PBE) results for CsMnTeN2 after structural relaxation.

Cell: 4.1697 4.1697 5.2671 Å, 90.00 90.00 90.00°
With the nearest neighbours (Å) after each atom.
Space group P4/mmm (No. 123)
Inequivalent atoms, fractional coordinates:
Cs  0.0000  0.0000  0.0000 x1  4 Te 2.95
Mn  0.5000  0.5000  0.5000 x1  4 N 2.08
Te  0.5000  0.5000  0.0000 x1  2 Mn 2.63, 4 Cs 2.95
N  0.0000  0.5000  0.5000 x2  2 Mn 2.08

Properties
VASP energy in eV per atom: -4.700
E_form (uncorrected) in meV/atom: 1263
DOS at the Fermi energy in states/eV/cell: 4.9
Theoretical density in g/cm3: 6.2
Energy above the most stable polymorph in this dataset in meV/atom: 0.0

=====

Entry 9:
DFT (PBE) results for RbGaGeO4 after structural relaxation.

Cell: 5.0754 5.5934 8.2722 Å, 90.00 103.50 90.00°
With the nearest neighbours (Å) after each atom.
Space group P2_1/m (No. 11)
Inequivalent atoms, fractional coordinates:
Rb  0.1993  0.2500  0.1083 x2  6 O 2.95-3.20
Ga  0.1364  0.7500  0.5032 x2  3 O 1.82-1.98
Ge  0.3922  0.2500  0.6972 x2  4 O 1.70-1.86
O  0.1216  0.0197  0.6551 x4  1 Ge 1.86, 2 Ga 1.98-2.07
O  0.3861  0.7500  0.1139 x2  1 Ge 1.70
O  0.4876  0.7500  0.4866 x2  1 Ge 1.77, 1 Ga 1.82

Properties
VASP energy in eV per atom: -5.767
E_form (uncorrected) in meV/atom: -1703
DOS at the Fermi energy in states/eV/cell: 0.0
Theoretical density in g/cm3: 4.2

=====

Entry 10:
DFT (PBE) results for La6Nd5Sc after structural relaxation.

Cell: 5.2340 10.2831 15.6325 Å, 90.00 90.00 90.00°
With the nearest neighbours (Å) after each atom.
Space group Immm (No. 71)
Inequivalent atoms, fractional coordinates:
La  0.0000  0.2439  0.0000 x4  6 Nd 3.60-3.71, 2 Sc 3.63, 4 La 3.66
La  0.0000  0.2541  0.3359 x8  1 Sc 3.60, 7 Nd 3.64-3.74, 4 La 3.66-3.75
Nd  0.0000  0.0000  0.1649 x4  8 La 3.60-3.74, 2 Sc 3.67, 2 Nd 3.71
Nd  0.0000  0.0000  0.5000 x2  8 La 3.66-3.71, 4 Nd 3.69
Nd  0.0000  0.5000  0.1666 x4  8 La 3.66-3.70, 4 Nd 3.69-3.71
Sc  0.0000  0.5000  0.5000 x2  8 La 3.60-3.63, 4 Nd 3.67

Properties
VASP energy in eV per atom: -4.953
DOS at the Fermi energy in states/eV/cell: 39.5
Theoretical density in g/cm3: 6.3

=====

Entry 11:
DFT (PBE) results for SmScAsS after structural relaxation.

Cell: 3.8790 3.8790 20.4973 Å, 90.00 90.00 120.00°
With the nearest neighbours (Å) after each atom.
Space group R3m (No. 160, hexagonal axes)
Inequivalent atoms, fractional coordinates:
Sm  0.0000  0.0000  0.0000 x3  3 As 2.90, 3 S 2.95
Sc  0.0000  0.0000  0.1723 x3  3 As 2.68, 3 S 2.76
As  0.0000  0.0000  0.5771 x3  3 Sc 2.68, 3 Sm 2.90
S  0.0000  0.0000  0.7603 x3  3 Sc 2.76, 3 Sm 2.95

Properties
VASP energy in eV per atom: -6.573
E_form (uncorrected) in meV/atom: -1616
DOS at the Fermi energy in states/eV/cell: 7.7
Theoretical density in g/cm3: 5.6

=====

Entry 12:
DFT (PBE) results for La2TlGePd6 after structural relaxation.

Cell: 5.6202 6.4852 6.9205 Å, 84.42 66.04 64.36°
With the nearest neighbours (Å) after each atom.
Space group P-1 (No. 2)
Inequivalent atoms, fractional coordinates:
La  0.2479  0.2560  0.2487 x2  3 Pd 2.90-2.93
Tl  0.0000  0.0000  0.0000 x1  6 Pd 2.73-2.78
Ge  0.5000  0.5000  0.5000 x1  6 Pd 2.50-2.58
Pd  0.2068  0.3122  0.7822 x2  1 Ge 2.58, 4 Pd 2.77-2.89, 1 Tl 2.78
Pd  0.2534  0.9289  0.5663 x2  1 Ge 2.50, 1 Tl 2.73
Pd  0.2987  0.6902  0.2201 x2  1 Ge 2.58, 4 Pd 2.77-2.88, 1 Tl 2.78

Properties
VASP energy in eV per atom: -5.406
DOS at the Fermi energy in states/eV/cell: 4.7
Theoretical density in g/cm3: 9.6